The following is a DFT calculation (PBE-GGA) of a relaxed CdTeN2O crystal.

Cell: 4.057 4.057 6.518 Å, 90.00 90.00 90.00°
Fractional coordinates of all 5 atoms:
Te: 0.000 0.000 0.500
O: 0.500 0.500 0.500
Cd: 0.000 0.000 0.000
N: 0.000 0.500 0.000
N: 0.500 0.000 0.000

Calculated values
* symmetry: P4/mmm
* formation energy from raw total energies: 10.0 eV/f.u.
* final energy: -3.138 eV per atom

=====

The following is a DFT calculation (PBE-GGA) of a relaxed NaLaMg2Cu crystal.

Cell: 5.187 5.187 5.343 Å, 90.00 90.00 90.00°
Fractional coordinates of all 5 atoms:
Cu: 0.000 0.000 0.000
Mg: 0.500 0.000 0.000
Mg: 0.000 0.500 0.000
La: 0.000 0.000 0.500
Na: 0.500 0.500 0.500

Calculated values
* ΔE_f: 0.35 eV/f.u.
* symmetry: P4/mmm
* final energy: -2.636 eV per atom

=====

The following is a DFT calculation (PBE-GGA) of a relaxed Tm2PPt6 crystal.

Cell: 5.606 5.592 5.996 Å, 78.33 90.00 120.08°
Fractional coordinates of all 9 atoms:
Pt: 0.128 0.255 0.286
Pt: 0.124 0.740 0.303
Pt: 0.876 0.260 0.697
Pt: 0.384 0.260 0.697
Pt: 0.872 0.745 0.714
Pt: 0.616 0.740 0.303
Tm: 0.643 0.286 0.147
Tm: 0.357 0.714 0.853
P: 0.000 0.000 0.000

Calculated values
* ΔE_f: -9.10 eV/f.u.
* symmetry: C2/m
* final energy: -6.633 eV per atom

=====

The following is a DFT calculation (PBE-GGA) of a relaxed LiTbErPd crystal.

Cell: 5.016 5.016 5.016 Å, 60.00 60.00 60.00°
Fractional coordinates of all 4 atoms:
Tb: 0.750 0.750 0.750
Pd: 0.500 0.500 0.500
Er: 0.250 0.250 0.250
Li: 0.000 0.000 0.000

Calculated values
* ΔE_f: -1.67 eV/f.u.
* symmetry: F-43m
* final energy: -4.492 eV per atom

=====

The following is a DFT calculation (PBE-GGA) of a relaxed AcThSi2 crystal.

Cell: 4.386 4.386 7.680 Å, 73.41 73.41 60.00°
Fractional coordinates of all 4 atoms:
Th: 0.000 0.000 0.000
Si: 0.742 0.742 0.774
Si: 0.258 0.258 0.226
Ac: 0.500 0.500 0.500

Calculated values
* symmetry: R-3m
* formation energy from raw total energies: -1.8 eV/f.u.
* final energy: -6.051 eV per atom

=====

The following is a DFT calculation (PBE-GGA) of a relaxed Rb12Na5Hg2 crystal.

Cell: 10.841 10.841 10.691 Å, 80.46 80.46 80.27°
Fractional coordinates of all 19 atoms:
Rb: 0.895 0.895 0.162
Rb: 0.162 0.617 0.368
Rb: 0.981 0.340 0.165
Rb: 0.105 0.105 0.838
Rb: 0.603 0.603 0.270
Rb: 0.397 0.397 0.730
Rb: 0.340 0.981 0.165
Rb: 0.383 0.838 0.632
Rb: 0.019 0.660 0.835
Rb: 0.838 0.383 0.632
Rb: 0.617 0.162 0.368
Rb: 0.660 0.019 0.835
Na: 0.608 0.608 0.895
Na: 0.000 0.000 0.500
Na: 0.392 0.392 0.105
Na: 0.226 0.226 0.449
Na: 0.774 0.774 0.551
Hg: 0.699 0.301 0.000
Hg: 0.301 0.699 0.000

Calculated values
* ΔE_f: -0.46 eV/f.u.
* symmetry: C2/m
* final energy: -1.014 eV per atom